{
  "formula": "TlHgRhF6",
  "functional": "PBE-GGA",
  "state": "relaxed",
  "lattice_angstrom": [[5.9726, 0.0000, 0.0000], [-2.9863, 5.1724, 0.0000], [0.0000, 0.0000, 5.6072]],
  "species": ["Tl", "Hg", "Rh", "F", "F", "F", "F", "F", "F"],
  "frac_coords": [[0.0000, 0.0000, 0.0000], [0.3333, 0.6667, 0.5000], [0.6667, 0.3333, 0.5000], [0.3902, 0.0465, 0.6947], [0.3902, 0.3437, 0.3053], [0.6563, 0.0465, 0.3053], [0.6563, 0.6098, 0.6947], [0.9535, 0.3437, 0.6947], [0.9535, 0.6098, 0.3053]],
  "e_form_raw_ev_per_atom": -1.611,
  "magnetic_moment_mub_per_fu": 0.0,
  "spacegroup": "P312, No. 149"
}